A plane-wave DFT calculation with PBE-GGA was carried out for a relaxed structure of InPb2Cl2.

Cell lengths 4.8502, 4.8502, 7.5187 Å; angles 71.18, 71.18, 90.00 degrees
Last column: nearest neighbours and their distance in Å.
Atoms (fractional coordinates):
Cl 0.2500 0.7500 0.5000  4 Pb 2.99
Cl 0.7500 0.2500 0.5000  4 Pb 2.99
Pb 0.6191 0.6191 0.7618  4 Cl 2.99, 1 Pb 3.19
Pb 0.3809 0.3809 0.2382  4 Cl 2.99, 1 Pb 3.19
In 0.0000 0.0000 0.0000  8 Pb 3.78, 8 Cl 4.13

The uncorrected formation energy is -0.295 eV/atom. As for the density of states at the Fermi level: 2.49 states/eV/cell. For the energy above the most stable polymorph in this dataset, the calculation gives 46 kJ/mol of formula units. As for the total energy: -15.3 eV per cell. As for the symmetry: No. 139.